Record 1
11
Lattice="4.418 0.000 0.000 -1.463 5.520 0.000 -0.704 -1.964 5.325" Properties=species:S:1:pos:R:3 comment="Cu2Ni7Rh2 | Alexandria | PBE | optimized geometry" volume_a3_per_cell=130 dos_at_fermi_per_ev_atom=1.39 dft_energy_ev_per_atom=-5.718 sg="P-1, No. 2" pbc="T T T"
Cu -0.368 1.352 1.668
Cu 2.619 2.204 3.657
Ni -0.352 -0.982 2.662
Ni -0.373 3.779 0.753
Ni 0.409 -1.402 5.092
Ni 0.392 3.398 3.168
Ni 1.858 0.158 2.156
Ni 1.841 4.958 0.233
Ni 2.624 -0.223 4.572
Rh 0.406 0.974 4.103
Rh 1.844 2.582 1.222

---

Record 2
18
Lattice="6.830 0.000 0.000 0.000 4.393 0.000 -5.138 0.000 7.213" Properties=species:S:1:pos:R:3 comment="CuNi6Rh2 | Alexandria | PBE | optimized geometry" volume_a3_per_cell=216 dos_at_fermi_per_ev_atom=1.44 dft_energy_ev_per_atom=-5.850 sg="P2_1/c, No. 14" pbc="T T T"
Cu 0.000 0.000 0.000
Cu -2.569 2.196 3.606
Ni -3.252 0.427 5.608
Ni -0.683 1.770 2.001
Ni -1.368 0.145 4.021
Ni 1.201 2.052 0.415
Ni -0.094 2.501 4.367
Ni 2.475 4.088 0.760
Ni -0.783 0.305 6.453
Ni 1.786 1.892 2.846
Ni 0.491 2.341 6.798
Ni 3.060 4.248 3.192
Ni 2.375 2.623 5.212
Ni 4.944 3.966 1.605
Rh -2.007 2.601 6.008
Rh 0.562 3.989 2.402
Rh 1.130 0.404 4.811
Rh 3.699 1.792 1.205

---

Record 3
4
Lattice="2.634 0.000 0.000 0.000 3.610 0.000 -0.021 0.000 5.224" Properties=species:S:1:pos:R:3 comment="Cu2NiRh | Alexandria | PBE | optimized geometry" volume_a3_per_cell=50 dos_at_fermi_per_ev_atom=1.29 dft_energy_ev_per_atom=-5.274 sg="Pm, No. 6" pbc="T T T"
Cu 0.000 0.000 0.000
Cu 1.310 1.805 1.238
Ni 2.618 0.000 2.563
Rh 1.299 1.805 3.813

---

Record 4
14
Lattice="-3.722 3.727 3.705 3.722 -3.727 3.705 3.722 3.727 -3.705" Properties=species:S:1:pos:R:3 comment="CuNiRh5 | Alexandria | PBE | optimized geometry" volume_a3_per_cell=206 dos_at_fermi_per_ev_atom=1.60 dft_energy_ev_per_atom=-6.375 sg="Imma, No. 74" pbc="T T T"
Cu 0.000 1.863 1.745
Cu 3.722 1.863 1.960
Ni 3.722 0.000 0.000
Ni 0.000 0.000 3.705
Rh 3.722 -1.863 1.983
Rh 1.919 1.863 0.021
Rh 5.526 1.863 0.021
Rh 1.861 3.755 -1.853
Rh 1.861 0.028 1.853
Rh -1.861 3.699 1.853
Rh 1.861 3.699 1.853
Rh -1.803 1.863 3.684
Rh 1.803 1.863 3.684
Rh 0.000 5.590 1.723

---

Record 5
11
Lattice="4.235 -4.050 0.000 4.235 4.050 0.000 -2.060 0.000 3.908" Properties=species:S:1:pos:R:3 comment="Cu2Ni7Rh2 | Alexandria | PBE | optimized geometry" volume_a3_per_cell=134 dos_at_fermi_per_ev_atom=1.38 dft_energy_ev_per_atom=-5.607 sg="C2/m, No. 12" pbc="T T T"
Cu 0.132 0.000 1.244
Cu 6.278 0.000 2.664
Ni 2.102 1.971 1.310
Ni 0.071 0.000 3.731
Ni 4.308 1.971 2.598
Ni 3.205 0.000 1.954
Ni 2.102 -1.971 1.310
Ni 6.339 0.000 0.176
Ni 4.308 -1.971 2.598
Rh 4.235 1.506 0.000
Rh 4.235 -1.506 0.000

---

Record 6
4
Lattice="2.583 -3.667 0.000 2.583 3.667 0.000 0.000 0.000 2.624" Properties=species:S:1:pos:R:3 comment="Cu2NiRh | Alexandria | PBE | optimized geometry" volume_a3_per_cell=50 dos_at_fermi_per_ev_atom=1.69 dft_energy_ev_per_atom=-5.232 sg="Cmmm, No. 65" pbc="T T T"
Cu 1.291 1.834 0.000
Cu 1.291 -1.834 0.000
Ni 0.000 0.000 1.312
Rh 2.583 0.000 1.312